Here is GeSF2 at its PBEsol-relaxed geometry from Alexandria. Energies are from SCAN.

The space group is I-42d (No. 122) and the conventional cell measures 3.6930, 3.6930 and 15.3771 Å, with angles of 90.00, 90.00 and 90.00 degrees. The inequivalent atoms are Ge at (0.0000, 0.0000, 0.0000), S at (0.0000, 0.0000, 0.5000) and F at (0.2397, 0.2500, 0.1250).

The value obtained for the volume is 210 Å³/cell. As for the density of states at the Fermi level: 6.39 states/eV per cell. As for the energy relative to the elements, uncorrected: -0.7107 eV per atom. The calculation puts the total magnetization at 1.268 Bohr magnetons per cell.